The following is a GGA-PBE calculation of an optimized crystal structure of Y2SeCl, from Alexandria.

Calculated values
Space-group type: P4/mmm, No. 123
Density of states at the Fermi level: 0.704 states/eV/atom
ΔE_f (raw): -1.266 eV per atom
Total magnetic moment: 0.0 μB per formula unit

Structure (POSCAR):
```
Y2SeCl
1.0
3.534 0.000 0.000
0.000 3.534 0.000
0.000 0.000 6.977
Y Se Cl
2 1 1
Direct
0.000 0.000 0.240 Y
0.000 0.000 0.760 Y
0.500 0.500 0.000 Se
0.500 0.500 0.500 Cl
```

The following is a GGA-PBE calculation of an optimized crystal structure of Y2SeCl, from Alexandria.

Calculated values
Space-group type: Cmmm, No. 65
Density of states at the Fermi level: 0.598 states/eV/atom
ΔE_f (raw): -1.248 eV per atom
Total magnetic moment: 0.0 μB per formula unit

Structure (POSCAR):
```
Y2SeCl
1.0
1.848 -3.344 0.000
1.848 3.344 0.000
0.000 0.000 8.693
Y Se Cl
2 1 1
Direct
0.000 0.000 0.237 Y
0.000 0.000 0.763 Y
0.500 0.500 0.000 Se
0.500 0.500 0.500 Cl
```

The following is a GGA-PBE calculation of an optimized crystal structure of YSeCl2, from Alexandria.

Calculated values
Space-group type: R-3m, No. 166
Density of states at the Fermi level: 0.581 states/eV/atom
ΔE_f (raw): -1.059 eV per atom
Total magnetic moment: 0.0 μB per formula unit

Structure (POSCAR):
```
YSeCl2
1.0
1.798 1.038 9.713
-1.798 1.038 9.713
0.000 -2.076 9.713
Y Se Cl
1 1 2
Direct
0.000 0.000 0.000 Y
0.500 0.500 0.500 Se
0.275 0.275 0.275 Cl
0.725 0.725 0.725 Cl
```